Arrangement a

# BaTbB4

A relaxed BaTbB4 crystal (PBE, the Open Quantum Materials Database).

a = 3.299 Å, b = 3.299 Å, c = 8.788 Å
α = 90.00°, β = 90.00°, γ = 120.00°
Element x y z (fractional)
Ba 0.000 0.000 0.000
Tb 0.000 0.000 0.500
B 0.333 0.667 0.283
B 0.333 0.667 0.717
B 0.667 0.333 0.283
B 0.667 0.333 0.717

Arrangement b

# BaTbB4

A relaxed BaTbB4 crystal (PBE, the Open Quantum Materials Database).

a = 5.794 Å, b = 5.794 Å, c = 5.794 Å
α = 148.35°, β = 95.59°, γ = 92.94°
Element x y z (fractional)
Ba 0.000 0.000 0.000
Tb 0.500 0.500 0.000
B 0.020 0.752 0.268
B 0.484 0.752 0.732
B 0.516 0.248 0.268
B 0.980 0.248 0.732

Which is most stable, and by how much? arrangement b, by 36 meV/atom.

Arrangement a

# BaThB4

A relaxed BaThB4 crystal (PBE, the Open Quantum Materials Database).

a = 3.355 Å, b = 3.355 Å, c = 8.974 Å
α = 90.00°, β = 90.00°, γ = 120.00°
Element x y z (fractional)
Ba 0.000 0.000 0.000
Th 0.000 0.000 0.500
B 0.333 0.667 0.275
B 0.333 0.667 0.725
B 0.667 0.333 0.275
B 0.667 0.333 0.725

Arrangement b

# BaThB4

A relaxed BaThB4 crystal (PBE, the Open Quantum Materials Database).

a = 5.814 Å, b = 5.814 Å, c = 5.814 Å
α = 148.31°, β = 95.10°, γ = 93.46°
Element x y z (fractional)
Ba 0.000 0.000 0.000
Th 0.500 0.500 0.000
B 0.029 0.757 0.272
B 0.485 0.757 0.728
B 0.515 0.243 0.272
B 0.971 0.243 0.728

Which is most stable, and by how much? arrangement b, by 92 meV/atom.

Arrangement a

# BaUB

A relaxed BaUB crystal (PBE, the Open Quantum Materials Database).

a = 4.720 Å, b = 4.720 Å, c = 4.720 Å
α = 60.00°, β = 60.00°, γ = 60.00°
Element x y z (fractional)
Ba 0.000 0.000 0.000
U 0.500 0.500 0.500
B 0.250 0.250 0.250

Arrangement b

# BaUB

A relaxed BaUB crystal (PBE, the Open Quantum Materials Database).

a = 4.753 Å, b = 4.753 Å, c = 4.753 Å
α = 60.00°, β = 60.00°, γ = 60.00°
Element x y z (fractional)
Ba 0.000 0.000 0.000
U 0.250 0.250 0.250
B 0.750 0.750 0.750

Which is most stable, and by how much? arrangement a, by 771 meV/atom.

Arrangement a

# BaZrB4

A relaxed BaZrB4 crystal (PBE, the Open Quantum Materials Database).

a = 5.531 Å, b = 5.531 Å, c = 5.531 Å
α = 147.16°, β = 97.21°, γ = 91.97°
Element x y z (fractional)
Ba 0.000 0.000 0.000
Zr 0.500 0.500 0.000
B 0.036 0.759 0.277
B 0.481 0.759 0.723
B 0.519 0.241 0.277
B 0.964 0.241 0.723

Arrangement b

# BaZrB4

A relaxed BaZrB4 crystal (PBE, the Open Quantum Materials Database).

a = 3.240 Å, b = 3.240 Å, c = 8.449 Å
α = 90.00°, β = 90.00°, γ = 120.00°
Element x y z (fractional)
Ba 0.000 0.000 0.000
Zr 0.000 0.000 0.500
B 0.333 0.667 0.299
B 0.333 0.667 0.701
B 0.667 0.333 0.299
B 0.667 0.333 0.701

Which is most stable, and by how much? arrangement b, by 345 meV/atom.

Arrangement a

# BaZrB

A relaxed BaZrB crystal (PBE, the Open Quantum Materials Database).

a = 4.668 Å, b = 4.668 Å, c = 4.668 Å
α = 60.00°, β = 60.00°, γ = 60.00°
Element x y z (fractional)
Ba 0.000 0.000 0.000
Zr 0.500 0.500 0.500
B 0.250 0.250 0.250

Arrangement b

# BaZrB

A relaxed BaZrB crystal (PBE, the Open Quantum Materials Database).

a = 4.714 Å, b = 4.714 Å, c = 4.714 Å
α = 60.00°, β = 60.00°, γ = 60.00°
Element x y z (fractional)
Ba 0.000 0.000 0.000
Zr 0.250 0.250 0.250
B 0.750 0.750 0.750

Which is most stable, and by how much? arrangement a, by 1030 meV/atom.

Arrangement a

# BeCdB4

A relaxed BeCdB4 crystal (PBE, the Open Quantum Materials Database).

a = 3.019 Å, b = 3.019 Å, c = 6.971 Å
α = 90.00°, β = 90.00°, γ = 120.00°
Element x y z (fractional)
Be 0.000 0.000 0.000
Cd 0.000 0.000 0.500
B 0.333 0.667 0.186
B 0.333 0.667 0.814
B 0.667 0.333 0.186
B 0.667 0.333 0.814

Arrangement b

# BeCdB4

A relaxed BeCdB4 crystal (PBE, the Open Quantum Materials Database).

a = 4.649 Å, b = 4.649 Å, c = 4.649 Å
α = 141.75°, β = 110.51°, γ = 82.20°
Element x y z (fractional)
Be 0.000 0.000 0.000
Cd 0.500 0.500 0.000
B 0.072 0.738 0.333
B 0.405 0.738 0.667
B 0.595 0.262 0.333
B 0.928 0.262 0.667

Which is most stable, and by how much? arrangement a, by 219 meV/atom.

Arrangement a

# BeCoCuB

A relaxed BeCoCuB crystal (PBE, the Open Quantum Materials Database).

a = 3.705 Å, b = 3.705 Å, c = 3.705 Å
α = 60.00°, β = 60.00°, γ = 60.00°
Element x y z (fractional)
Be 0.000 0.000 0.000
Co 0.500 0.500 0.500
Cu 0.750 0.750 0.750
B 0.250 0.250 0.250

Arrangement b

# BeCoCuB

A relaxed BeCoCuB crystal (PBE, the Open Quantum Materials Database).

a = 3.645 Å, b = 3.645 Å, c = 3.645 Å
α = 60.00°, β = 60.00°, γ = 60.00°
Element x y z (fractional)
Be 0.000 0.000 0.000
Co 0.250 0.250 0.250
Cu 0.750 0.750 0.750
B 0.500 0.500 0.500

Which is most stable, and by how much? arrangement b, by 222 meV/atom.

Arrangement a

# BeCoGeB

A relaxed BeCoGeB crystal (PBE, the Open Quantum Materials Database).

a = 3.835 Å, b = 3.835 Å, c = 3.835 Å
α = 60.00°, β = 60.00°, γ = 60.00°
Element x y z (fractional)
Be 0.000 0.000 0.000
Co 0.500 0.500 0.500
Ge 0.750 0.750 0.750
B 0.250 0.250 0.250

Arrangement b

# BeCoGeB

A relaxed BeCoGeB crystal (PBE, the Open Quantum Materials Database).

a = 3.849 Å, b = 3.849 Å, c = 3.849 Å
α = 60.00°, β = 60.00°, γ = 60.00°
Element x y z (fractional)
Be 0.000 0.000 0.000
Co 0.250 0.250 0.250
Ge 0.500 0.500 0.500
B 0.750 0.750 0.750

Arrangement c

# BeCoGeB

A relaxed BeCoGeB crystal (PBE, the Open Quantum Materials Database).

a = 3.818 Å, b = 3.818 Å, c = 3.818 Å
α = 60.00°, β = 60.00°, γ = 60.00°
Element x y z (fractional)
Be 0.000 0.000 0.000
Co 0.250 0.250 0.250
Ge 0.750 0.750 0.750
B 0.500 0.500 0.500

Which is most stable, and by how much? arrangement a, by 68 meV/atom.

Arrangement a

# BeCoBIr

A relaxed BeCoBIr crystal (PBE, the Open Quantum Materials Database).

a = 3.755 Å, b = 3.755 Å, c = 3.755 Å
α = 60.00°, β = 60.00°, γ = 60.00°
Element x y z (fractional)
Be 0.000 0.000 0.000
Co 0.750 0.750 0.750
B 0.500 0.500 0.500
Ir 0.250 0.250 0.250

Arrangement b

# BeCoBIr

A relaxed BeCoBIr crystal (PBE, the Open Quantum Materials Database).

a = 3.870 Å, b = 3.870 Å, c = 3.870 Å
α = 60.00°, β = 60.00°, γ = 60.00°
Element x y z (fractional)
Be 0.000 0.000 0.000
Co 0.500 0.500 0.500
B 0.250 0.250 0.250
Ir 0.750 0.750 0.750

Which is most stable, and by how much? arrangement a, by 741 meV/atom.

Arrangement a

# BeCoBPb

A relaxed BeCoBPb crystal (PBE, the Open Quantum Materials Database).

a = 4.200 Å, b = 4.200 Å, c = 4.200 Å
α = 60.00°, β = 60.00°, γ = 60.00°
Element x y z (fractional)
Be 0.000 0.000 0.000
Co 0.500 0.500 0.500
B 0.750 0.750 0.750
Pb 0.250 0.250 0.250

Arrangement b

# BeCoBPb

A relaxed BeCoBPb crystal (PBE, the Open Quantum Materials Database).

a = 4.178 Å, b = 4.178 Å, c = 4.178 Å
α = 60.00°, β = 60.00°, γ = 60.00°
Element x y z (fractional)
Be 0.000 0.000 0.000
Co 0.750 0.750 0.750
B 0.500 0.500 0.500
Pb 0.250 0.250 0.250

Which is most stable, and by how much? arrangement b, by 6 meV/atom.

Arrangement a

# ScBeCoB

A relaxed ScBeCoB crystal (PBE, the Open Quantum Materials Database).

a = 3.934 Å, b = 3.934 Å, c = 3.934 Å
α = 60.00°, β = 60.00°, γ = 60.00°
Element x y z (fractional)
Sc 0.000 0.000 0.000
Be 0.250 0.250 0.250
Co 0.750 0.750 0.750
B 0.500 0.500 0.500

Arrangement b

# ScBeCoB

A relaxed ScBeCoB crystal (PBE, the Open Quantum Materials Database).

a = 3.912 Å, b = 3.912 Å, c = 3.912 Å
α = 60.00°, β = 60.00°, γ = 60.00°
Element x y z (fractional)
Sc 0.000 0.000 0.000
Be 0.750 0.750 0.750
Co 0.500 0.500 0.500
B 0.250 0.250 0.250

Which is most stable, and by how much? arrangement b, by 294 meV/atom.

Arrangement a

# BeCoSiB

A relaxed BeCoSiB crystal (PBE, the Open Quantum Materials Database).

a = 3.703 Å, b = 3.703 Å, c = 3.703 Å
α = 60.00°, β = 60.00°, γ = 60.00°
Element x y z (fractional)
Be 0.000 0.000 0.000
Co 0.750 0.750 0.750
Si 0.500 0.500 0.500
B 0.250 0.250 0.250

Arrangement b

# BeCoSiB

A relaxed BeCoSiB crystal (PBE, the Open Quantum Materials Database).

a = 3.674 Å, b = 3.674 Å, c = 3.674 Å
α = 60.00°, β = 60.00°, γ = 60.00°
Element x y z (fractional)
Be 0.000 0.000 0.000
Co 0.750 0.750 0.750
Si 0.250 0.250 0.250
B 0.500 0.500 0.500

Arrangement c

# BeCoSiB

A relaxed BeCoSiB crystal (PBE, the Open Quantum Materials Database).

a = 3.706 Å, b = 3.706 Å, c = 3.706 Å
α = 60.00°, β = 60.00°, γ = 60.00°
Element x y z (fractional)
Be 0.000 0.000 0.000
Co 0.500 0.500 0.500
Si 0.250 0.250 0.250
B 0.750 0.750 0.750

Which is most stable, and by how much? arrangement c, by 42 meV/atom.